1.
TcRu3O | PBE | optimized geometry

Cell: 4.044 4.044 4.044 Å, 90.00 90.00 90.00°
Each line ends with the local moment (μB).
Fractional positions:
Ru 0.000 0.500 0.000  0.07
Ru 0.000 0.000 0.500  0.17
Ru 0.500 0.000 0.000  0.07
Tc 0.500 0.500 0.500  1.28
O 0.000 0.000 0.000  0.01

Properties
symmetry	No. 221
calculated density	10.47	g/cm³
energy relative to the elements, uncorrected	416	meV per atom
energy relative to the lowest polymorph listed for this composition	0.00	kcal/mol of atoms

***

2.
TcRu2O | PBE | optimized geometry

Cell: 4.878 4.878 6.368 Å, 67.48 67.48 90.00°
Fractional positions:
Ru 0.552 0.125 0.250
Ru 0.198 0.625 0.250
Ru 0.375 0.448 0.750
Ru 0.875 0.802 0.750
Tc 0.000 0.000 0.000
Tc 0.750 0.250 0.500
O 0.500 0.500 0.000
O 0.250 0.750 0.500

Properties
symmetry	No. 122
calculated density	8.24	g/cm³
energy relative to the elements, uncorrected	385	meV per atom